Entry from the Alexandria database: an optimized crystal structure of KTmMnF6 (PBE+U).

The space group is P-31c (No. 163) and the conventional cell measures 5.8352, 5.8352 and 11.0191 Å, with angles of 90.00, 90.00 and 120.00 degrees. The asymmetric unit holds K at (0.0000, 0.0000, 0.0000), Tm at (0.3333, 0.6667, 0.2500), Mn at (0.3333, 0.6667, 0.7500) and F at (0.0002, 0.3761, 0.1469).

As for the total DFT energy (no corrections): -6.070 eV per atom.